1.
## U2Pa3S8 (PBE-GGA)

Data for a geometry-optimized U2Pa3S8 structure.

Geometry as POSCAR:
```
U2Pa3S8
1.0
6.902 -3.918 0.000
6.902 3.918 0.000
-2.039 0.000 6.212
U Pa S
2 3 8
Direct
0.249 0.249 0.169
0.751 0.751 0.831
0.250 0.750 0.500
0.500 0.500 0.000
0.750 0.250 0.500
0.115 0.115 0.411
0.130 0.622 0.082
0.376 0.376 0.584
0.378 0.870 0.918
0.622 0.130 0.082
0.624 0.624 0.416
0.870 0.378 0.918
0.885 0.885 0.589
```

Calculated values
- SG = C2/m, No. 12
- E_tot (eV/atom) = -7.87
- D(E_F) (states/eV/cell) = 19.1

2.
## PaSnGePd (PBE-GGA)

Data for a geometry-optimized PaSnGePd structure.

Geometry as POSCAR:
```
PaSnGePd
1.0
0.000 3.481 3.481
3.481 0.000 3.481
3.481 3.481 0.000
Pa Sn Ge Pd
1 1 1 1
Direct
0.000 0.000 0.000
0.500 0.500 0.500
0.250 0.250 0.250
0.750 0.750 0.750
```

Calculated values
- energy of formation from the pure elements (meV per atom) = -306
- SG = F-43m, No. 216
- E_tot (eV/atom) = -6.13
- D(E_F) (states/eV/cell) = 5.8

3.
## BaLaGaAg (PBE-GGA)

Data for a geometry-optimized BaLaGaAg structure.

Geometry as POSCAR:
```
BaLaGaAg
1.0
0.000 3.943 3.943
3.943 0.000 3.943
3.943 3.943 0.000
Ba La Ga Ag
1 1 1 1
Direct
0.000 0.000 0.000
0.500 0.500 0.500
0.750 0.750 0.750
0.250 0.250 0.250
```

Calculated values
- energy of formation from the pure elements (meV per atom) = -269
- SG = F-43m, No. 216
- E_tot (eV/atom) = -3.45
- D(E_F) (states/eV/cell) = 3.5

4.
## K2ZrRe2N6 (PBE-GGA)

Data for a geometry-optimized K2ZrRe2N6 structure.

Geometry as POSCAR:
```
K2ZrRe2N6
1.0
5.298 -3.058 0.000
5.298 3.058 0.000
-3.593 0.000 6.167
K Zr Re N
2 1 2 6
Direct
0.224 0.224 0.182
0.776 0.776 0.818
0.000 0.000 0.500
0.431 0.431 0.782
0.569 0.569 0.218
0.242 0.242 0.700
0.247 0.737 0.714
0.263 0.753 0.286
0.737 0.247 0.714
0.753 0.263 0.286
0.758 0.758 0.300
```

Calculated values
- SG = C2/m, No. 12
- E_tot (eV/atom) = -8.23

5.
## Ba2Sn4BiAu3 (PBE-GGA)

Data for a geometry-optimized Ba2Sn4BiAu3 structure.

Geometry as POSCAR:
```
Ba2Sn4BiAu3
1.0
5.022 0.000 0.000
0.000 5.022 0.000
0.000 0.000 11.467
Ba Sn Bi Au
2 4 1 3
Direct
0.000 0.500 0.244
0.500 0.000 0.756
0.000 0.000 0.000
0.000 0.500 0.644
0.500 0.000 0.356
0.500 0.500 0.000
0.000 0.000 0.500
0.000 0.500 0.883
0.500 0.000 0.117
0.500 0.500 0.500
```

Calculated values
- energy of formation from the pure elements (meV per atom) = -503
- SG = P-4m2, No. 115
- E_tot (eV/atom) = -3.86
- D(E_F) (states/eV/cell) = 5.8

What is the formula in the fourth record?
K2ZrRe2N6